Entry 1:
HfScNi5: optimized geometry, PBE-GGA.

Computed properties:
- Uncorrected energy: -6.6999 eV per atom
- Total moment: 0.000 μB/f.u.
- Energy of formation from the pure elements: -0.244 eV per atom
- Space group: P4/mmm (123)

```
HfScNi5
1.0
3.618 0.000 0.000
0.000 3.618 0.000
0.000 0.000 7.777
Hf Sc Ni
1 1 5
Cartesian
0.000 0.000 0.000
1.809 1.809 3.888
0.000 1.809 1.916
0.000 1.809 5.860
1.809 0.000 1.916
1.809 0.000 5.860
1.809 1.809 0.000
```



Entry 2:
PmPO6: optimized geometry, PBE-GGA.

Computed properties:
- Formation energy from raw total energies: -1.512 eV/atom
- Uncorrected energy: -6.5002 eV per atom
- Total moment: 1.907 μB/f.u.
- Space group: Fm-3m (225)

```
PmPO6
1.0
0.000 3.991 3.991
3.991 0.000 3.991
3.991 3.991 0.000
Pm P O
1 1 6
Cartesian
0.000 0.000 0.000
3.991 3.991 3.991
3.991 3.991 2.341
3.991 2.341 3.991
5.640 3.991 3.991
2.341 3.991 3.991
3.991 5.640 3.991
3.991 3.991 5.640
```



Entry 3:
EuAgSb2: optimized geometry, PBE-GGA.

Computed properties:
- Formation energy from raw total energies: -0.464 eV/atom
- Uncorrected energy: -5.8066 eV per atom
- Total moment: 6.810 μB/f.u.
- Space group: P4/mmm (123)

```
EuAgSb2
1.0
4.824 0.000 0.000
0.000 4.824 0.000
0.000 0.000 4.408
Eu Ag Sb
1 1 2
Cartesian
0.000 0.000 0.000
2.412 2.412 0.000
0.000 2.412 2.204
2.412 0.000 2.204
```



Entry 4:
PrThNi17: optimized geometry, PBE-GGA.

Computed properties:
- Uncorrected energy: -6.0125 eV per atom
- Total moment: 6.240 μB/f.u.
- Energy of formation from the pure elements: -0.198 eV per atom
- Space group: R3m (160)

```
PrThNi17
1.0
4.182 2.414 4.051
-4.182 2.414 4.051
0.000 -4.829 4.051
Pr Th Ni
1 1 17
Cartesian
0.000 0.000 0.000
0.000 0.000 8.248
-1.220 -2.097 4.125
-2.426 -0.008 4.125
-2.070 -1.195 6.293
0.000 0.000 2.942
0.000 -2.421 6.147
-2.097 1.210 6.147
1.220 -2.097 4.125
-1.206 2.105 4.125
0.000 0.000 5.342
-2.093 -1.208 10.056
2.426 -0.008 4.125
1.206 2.105 4.125
2.070 -1.195 6.293
0.000 2.390 6.293
2.097 1.210 6.147
2.093 -1.208 10.056
0.000 2.417 10.056
```